Computed, not measured: a relaxed structure of Ba4ErRu3O12 at the PBEsol level of DFT.

Lattice parameters (Å, degrees): 5.826 5.826 10.230 73.46 73.46 60.00
Last column: magnetic moment on the atom in μB.
Positions (direct):
Ru: 0.413 0.413 0.760  0.01
Ru: 0.587 0.587 0.240  0.01
Ru: 0.500 0.500 0.500  0.00
Ba: 0.286 0.286 0.141  0.00
Ba: 0.714 0.714 0.859  -0.02
Ba: 0.129 0.129 0.614  1.14
Ba: 0.871 0.871 0.386  1.14
O: 0.782 0.307 0.130  -0.57
O: 0.307 0.782 0.130  0.11
O: 0.782 0.782 0.130  0.11
O: 0.218 0.218 0.870  0.11
O: 0.693 0.218 0.870  0.11
O: 0.218 0.693 0.870  0.11
O: 0.613 0.147 0.627  0.11
O: 0.147 0.613 0.627  0.01
O: 0.613 0.613 0.627  0.01
O: 0.387 0.387 0.373  0.01
O: 0.853 0.387 0.373  0.01
O: 0.387 0.853 0.373  0.01
Er: 0.000 0.000 0.000  0.01

total magnetic moment = 2.71 μB per formula unit
crystal system = trigonal
uncorrected formation energy = -2182 meV/atom